# 1
TaBeFeRu | PBE-GGA | relaxed

Calculated density: 11.15 g/cm³
Density of states at the Fermi level: 1.10 states/eV/atom
Space group: F-43m, No. 216
Calculated formation energy: -0.23 eV per atom
Magnetic moment: 0.37 μB/f.u.

a b c (Å): 4.180 4.180 4.180
angles (deg): 60.00 60.00 60.00
Fractional positions:
1 Ta 0.000 0.000 0.000
2 Be 0.500 0.500 0.500
3 Fe 0.750 0.750 0.750
4 Ru 0.250 0.250 0.250



# 2
ZrRh3F | PBE-GGA | relaxed

Formation energy without anion corrections: 1.03 eV per atom
Calculated density: 6.02 g/cm³
Density of states at the Fermi level: 2.36 states/eV/atom
Space group: Pm-3m, No. 221
Magnetic moment: 1.72 μB/f.u.

a b c (Å): 4.871 4.871 4.871
angles (deg): 90.00 90.00 90.00
Fractional positions:
1 Zr 0.000 0.000 0.000
2 Rh 0.000 0.000 0.500
3 Rh 0.000 0.500 0.000
4 Rh 0.500 0.000 0.000
5 F 0.500 0.500 0.500



# 3
LiGa4Pd2 | PBE-GGA | relaxed

Calculated density: 6.39 g/cm³
Density of states at the Fermi level: 0.24 states/eV/atom
Space group: I4/mmm, No. 139
Calculated formation energy: -0.02 eV per atom
Magnetic moment: 0.00 μB/f.u.

a b c (Å): 7.093 7.093 7.093
angles (deg): 142.79 142.79 53.63
Fractional positions:
1 Li 0.000 0.000 0.000
2 Ga 0.000 0.500 0.500
3 Ga 0.197 0.197 0.000
4 Ga 0.500 0.000 0.500
5 Ga 0.803 0.803 0.000
6 Pd 0.392 0.392 0.000
7 Pd 0.608 0.608 0.000